1.
A plane-wave DFT calculation with PBE was carried out for crystalline YTiZn2Ir at its relaxed geometry.

Cell: 5.077 5.077 4.949 Å, 90.00 90.00 90.00°
Space group P4/mmm (No. 123)
Symmetry-distinct sites (fractional):
Y  0.000  0.000  0.000 x1
Ti  0.500  0.500  0.500 x1
Zn  0.000  0.500  0.000 x2
Ir  0.000  0.000  0.500 x1

Summary:
The value obtained for the density of states at the Fermi level is 6.8 states/eV/cell. The energy of formation from the pure elements is 1.301 eV per atom. The total magnetization is 0.0 Bohr magnetons per cell. As for the distance to the lowest polymorph of the same formula: 1324 meV per atom.

2.
A plane-wave DFT calculation with PBE was carried out for crystalline Ti3ZnIr4 at its relaxed geometry.

Cell: 8.951 5.885 4.508 Å, 90.00 90.00 90.00°
Space group Pmma (No. 51)
Symmetry-distinct sites (fractional):
Ti  0.000  0.000  0.000 x2
Ti  0.250  0.000  0.448 x2
Ti  0.250  0.500  0.428 x2
Zn  0.000  0.500  0.000 x2
Ir  0.000  0.247  0.500 x4
Ir  0.250  0.251  0.934 x4

Summary:
The value obtained for the density of states at the Fermi level is 11.4 states/eV/cell. The energy of formation from the pure elements is -0.734 eV per atom. The total magnetization is 0.0 Bohr magnetons per cell.

3.
A plane-wave DFT calculation with PBE was carried out for crystalline Ti2ZnIr at its relaxed geometry.

Cell: 6.714 8.568 4.240 Å, 90.00 90.00 90.00°
Space group Cmcm (No. 63)
Symmetry-distinct sites (fractional):
Ti  0.248  0.122  0.250 x8
Zn  0.000  0.371  0.250 x4
Ir  0.000  0.132  0.750 x4

Summary:
The value obtained for the density of states at the Fermi level is 15.4 states/eV/cell. The energy of formation from the pure elements is -0.526 eV per atom. The total magnetization is 0.0 Bohr magnetons per cell.

4.
A plane-wave DFT calculation with PBE was carried out for crystalline Ti4Zn3Ir at its relaxed geometry.

Cell: 4.419 4.419 6.316 Å, 90.00 90.00 90.00°
Space group P4/mmm (No. 123)
Symmetry-distinct sites (fractional):
Ti  0.000  0.500  0.246 x4
Zn  0.000  0.000  0.000 x1
Zn  0.000  0.000  0.500 x1
Zn  0.500  0.500  0.500 x1
Ir  0.500  0.500  0.000 x1

Summary:
The value obtained for the density of states at the Fermi level is 4.7 states/eV/cell. The energy of formation from the pure elements is -0.353 eV per atom. The total magnetization is 0.0 Bohr magnetons per cell.

5.
A plane-wave DFT calculation with PBE was carried out for crystalline Ti3ZnIr at its relaxed geometry.

Cell: 4.758 4.758 4.758 Å, 90.00 90.00 90.00°
Space group Pm-3m (No. 221)
Symmetry-distinct sites (fractional):
Ti  0.000  0.000  0.500 x3
Zn  0.500  0.500  0.500 x1
Ir  0.000  0.000  0.000 x1

Summary:
The value obtained for the density of states at the Fermi level is 9.3 states/eV/cell. The energy of formation from the pure elements is 0.347 eV per atom. The total magnetization is 1.6 Bohr magnetons per cell. As for the distance to the lowest polymorph of the same formula: 804 meV per atom.

6.
A plane-wave DFT calculation with PBE was carried out for crystalline Ti4ZnIr5 at its relaxed geometry.

Cell: 2.957 2.957 17.087 Å, 90.00 90.00 90.00°
Space group P4/mmm (No. 123)
Symmetry-distinct sites (fractional):
Ti  0.000  0.000  0.103 x2
Ti  0.000  0.000  0.309 x2
Zn  0.000  0.000  0.500 x1
Ir  0.500  0.500  0.000 x1
Ir  0.500  0.500  0.206 x2
Ir  0.500  0.500  0.400 x2

Summary:
The value obtained for the density of states at the Fermi level is 9.8 states/eV/cell. The energy of formation from the pure elements is -0.744 eV per atom. The total magnetization is 0.0 Bohr magnetons per cell.

7.
A plane-wave DFT calculation with PBE was carried out for crystalline Ti6ZnIr at its relaxed geometry.

Cell: 4.471 6.395 9.053 Å, 90.00 90.00 90.00°
Space group Amm2 (No. 38)
Symmetry-distinct sites (fractional):
Ti  0.000  0.000  0.000 x2
Ti  0.000  0.226  0.281 x4
Ti  0.500  0.000  0.792 x2
Ti  0.500  0.240  0.520 x4
Zn  0.000  0.000  0.556 x2
Ir  0.500  0.000  0.262 x2

Summary:
The value obtained for the density of states at the Fermi level is 19.8 states/eV/cell. The energy of formation from the pure elements is -0.281 eV per atom. The total magnetization is 0.0 Bohr magnetons per cell.

8.
A plane-wave DFT calculation with PBE was carried out for crystalline Ti3ZnIr at its relaxed geometry.

Cell: 4.423 15.986 4.439 Å, 90.00 90.00 90.00°
Space group Cmcm (No. 63)
Symmetry-distinct sites (fractional):
Ti  0.000  0.051  0.250 x4
Ti  0.000  0.250  0.250 x4
Ti  0.000  0.447  0.250 x4
Zn  0.000  0.351  0.750 x4
Ir  0.000  0.159  0.750 x4

Summary:
The value obtained for the density of states at the Fermi level is 13.6 states/eV/cell. The energy of formation from the pure elements is -0.457 eV per atom. The total magnetization is 0.0 Bohr magnetons per cell. As for the distance to the lowest polymorph of the same formula: 0 meV per atom.

9.
A plane-wave DFT calculation with PBE was carried out for crystalline Ti2ZnIr at its relaxed geometry.

Cell: 4.356 4.356 3.218 Å, 90.00 90.00 90.00°
Space group P4/mmm (No. 123)
Symmetry-distinct sites (fractional):
Ti  0.000  0.500  0.000 x2
Zn  0.000  0.000  0.500 x1
Ir  0.500  0.500  0.500 x1

Summary:
The value obtained for the density of states at the Fermi level is 2.6 states/eV/cell. The energy of formation from the pure elements is -0.521 eV per atom. The total magnetization is 0.0 Bohr magnetons per cell.

10.
A plane-wave DFT calculation with PBE was carried out for crystalline Ti5ZnIr2 at its relaxed geometry.

Cell: 4.287 4.287 13.576 Å, 90.00 90.00 90.00°
Space group I4/mmm (No. 139)
Symmetry-distinct sites (fractional):
Ti  0.000  0.000  0.000 x2
Ti  0.000  0.500  0.130 x8
Zn  0.000  0.000  0.500 x2
Ir  0.000  0.000  0.249 x4

Summary:
The value obtained for the density of states at the Fermi level is 20.7 states/eV/cell. The energy of formation from the pure elements is -0.469 eV per atom. The total magnetization is 1.8 Bohr magnetons per cell.

11.
A plane-wave DFT calculation with PBE was carried out for crystalline Ti2Zn3Ir at its relaxed geometry.

Cell: 17.547 4.502 4.814 Å, 90.00 105.84 90.00°
Space group C2/m (No. 12)
Symmetry-distinct sites (fractional):
Ti  0.055  0.000  0.353 x4
Ti  0.202  0.500  0.869 x4
Zn  0.037  0.500  0.760 x4
Zn  0.124  0.000  0.932 x4
Zn  0.213  0.000  0.549 x4
Ir  0.130  0.500  0.293 x4

Summary:
The value obtained for the density of states at the Fermi level is 11.8 states/eV/cell. The energy of formation from the pure elements is -0.274 eV per atom. The total magnetization is 5.0 Bohr magnetons per cell.

12.
A plane-wave DFT calculation with PBE was carried out for crystalline Ti4ZnIr at its relaxed geometry.

Cell: 4.263 4.263 6.129 Å, 90.00 90.00 90.00°
Space group P4/mmm (No. 123)
Symmetry-distinct sites (fractional):
Ti  0.000  0.500  0.243 x4
Zn  0.000  0.000  0.500 x1
Ir  0.500  0.500  0.000 x1

Summary:
The value obtained for the density of states at the Fermi level is 6.7 states/eV/cell. The energy of formation from the pure elements is -0.056 eV per atom. The total magnetization is 0.0 Bohr magnetons per cell. As for the distance to the lowest polymorph of the same formula: 360 meV per atom.

13.
A plane-wave DFT calculation with PBE was carried out for crystalline Ti6ZnIr5 at its relaxed geometry.

Cell: 13.934 5.903 4.554 Å, 90.00 103.34 90.00°
Space group C2/m (No. 12)
Symmetry-distinct sites (fractional):
Ti  0.000  0.248  0.000 x4
Ti  0.173  0.251  0.639 x8
Zn  0.000  0.000  0.500 x2
Ir  0.000  0.500  0.500 x2
Ir  0.157  0.000  0.108 x4
Ir  0.159  0.500  0.123 x4

Summary:
The value obtained for the density of states at the Fermi level is 16.5 states/eV/cell. The energy of formation from the pure elements is -0.757 eV per atom. The total magnetization is 0.0 Bohr magnetons per cell.

14.
A plane-wave DFT calculation with PBE was carried out for crystalline Ti4ZnIr at its relaxed geometry.

Cell: 10.430 3.081 6.199 Å, 90.00 107.37 90.00°
Space group C2/m (No. 12)
Symmetry-distinct sites (fractional):
Ti  0.162  0.000  0.327 x4
Ti  0.162  0.000  0.835 x4
Zn  0.000  0.500  0.500 x2
Ir  0.000  0.500  0.000 x2

Summary:
The value obtained for the density of states at the Fermi level is 9.7 states/eV/cell. The energy of formation from the pure elements is -0.416 eV per atom. The total magnetization is 0.0 Bohr magnetons per cell. As for the distance to the lowest polymorph of the same formula: 0 meV per atom.

15.
A plane-wave DFT calculation with PBE was carried out for crystalline TiZnIr3 at its relaxed geometry.

Cell: 4.576 4.576 4.576 Å, 90.00 90.00 90.00°
Space group Pm-3m (No. 221)
Symmetry-distinct sites (fractional):
Ti  0.000  0.000  0.000 x1
Zn  0.500  0.500  0.500 x1
Ir  0.000  0.000  0.500 x3

Summary:
The value obtained for the density of states at the Fermi level is 6.0 states/eV/cell. The energy of formation from the pure elements is 1.078 eV per atom. The total magnetization is 0.0 Bohr magnetons per cell.

16.
A plane-wave DFT calculation with PBE was carried out for crystalline Ti3ZnIr at its relaxed geometry.

Cell: 4.534 4.534 4.534 Å, 90.00 90.00 90.00°
Space group Pm-3m (No. 221)
Symmetry-distinct sites (fractional):
Ti  0.000  0.000  0.500 x3
Zn  0.000  0.000  0.000 x1
Ir  0.500  0.500  0.500 x1

Summary:
The value obtained for the density of states at the Fermi level is 9.7 states/eV/cell. The energy of formation from the pure elements is 0.837 eV per atom. The total magnetization is 0.0 Bohr magnetons per cell. As for the distance to the lowest polymorph of the same formula: 1293 meV per atom.

17.
A plane-wave DFT calculation with PBE was carried out for crystalline Ti2Zn2Ir at its relaxed geometry.

Cell: 6.706 6.706 3.336 Å, 90.00 90.00 90.00°
Space group P4/mbm (No. 127)
Symmetry-distinct sites (fractional):
Ti  0.174  0.326  0.000 x4
Zn  0.127  0.627  0.500 x4
Ir  0.000  0.000  0.500 x2

Summary:
The value obtained for the density of states at the Fermi level is 7.4 states/eV/cell. The energy of formation from the pure elements is -0.287 eV per atom. The total magnetization is 0.0 Bohr magnetons per cell. As for the distance to the lowest polymorph of the same formula: 113 meV per atom.

18.
A plane-wave DFT calculation with PBE was carried out for crystalline Ti3ZnIr2 at its relaxed geometry.

Cell: 4.3997 4.3997 5.4993 Å, 90.00 90.00 120.00°
Space group P-3m1 (No. 164)
Symmetry-distinct sites (fractional):
Ti  0.0000  0.0000  0.0000 x1
Ti  0.3333  0.6667  0.6801 x2
Zn  0.0000  0.0000  0.5000 x1
Ir  0.3333  0.6667  0.2039 x2

Summary:
The value obtained for the density of states at the Fermi level is 5.5 states/eV/cell. The energy of formation from the pure elements is -0.627 eV per atom. The total magnetization is 0.0 Bohr magnetons per cell.

19.
A plane-wave DFT calculation with PBE was carried out for crystalline Ti11Zn9Ir4 at its relaxed geometry.

Cell: 13.019 19.628 2.981 Å, 90.00 90.00 90.00°
Space group Cmmm (No. 65)
Symmetry-distinct sites (fractional):
Ti  0.000  0.000  0.000 x2
Ti  0.000  0.159  0.000 x4
Ti  0.000  0.364  0.000 x4
Ti  0.209  0.500  0.000 x4
Ti  0.232  0.176  0.000 x8
Zn  0.000  0.500  0.500 x2
Zn  0.103  0.261  0.500 x8
Zn  0.137  0.073  0.500 x8
Ir  0.156  0.397  0.500 x8

Summary:
The value obtained for the density of states at the Fermi level is 35.1 states/eV/cell. The energy of formation from the pure elements is -0.413 eV per atom. The total magnetization is 3.8 Bohr magnetons per cell.

20.
A plane-wave DFT calculation with PBE was carried out for crystalline Ti2ZnIr at its relaxed geometry.

Cell: 7.226 7.226 5.250 Å, 90.00 90.00 90.00°
Space group I-42d (No. 122)
Symmetry-distinct sites (fractional):
Ti  0.212  0.750  0.125 x8
Zn  0.000  0.000  0.500 x4
Ir  0.000  0.000  0.000 x4

Summary:
The value obtained for the density of states at the Fermi level is 17.3 states/eV/cell. The energy of formation from the pure elements is -0.088 eV per atom. The total magnetization is 0.0 Bohr magnetons per cell.

E_tot, record by record: -19.26; -132.55; -112.11; -47.08; -32.08; -84.60; -119.50; -144.41; -28.01; -124.45; -120.47; -42.05; -204.07; -88.42; -30.36; -29.64; -57.26; -46.44; -287.33; -105.11 eV for the cell shown